Compound: Cs4Pa3MnO12
Source: Alexandria via LeMat-Bulk
Functional: PBE+U
Structure: relaxed

a b c (Å): 8.7481 8.7481 8.7481
angles (deg): 90.00 90.00 90.00
Closest atoms and distances in Å follow each position.
Space group Im-3m (No. 229)
Asymmetric unit:
Cs (0.2500, 0.2500, 0.2500) x8  12 O 3.09
Pa (0.0000, 0.0000, 0.5000) x6  6 O 2.19-2.24
Mn (0.0000, 0.0000, 0.0000) x2  6 O 2.13
O (0.0000, 0.0000, 0.2437) x12  1 Mn 2.13, 1 Pa 2.24
O (0.0000, 0.2500, 0.5000) x12  2 Pa 2.19

Output
Raw total energy ... -296.63 eV/cell
Total magnetization ... 1.8 μB/f.u.